Below is an optimized crystal structure of Tb12PtAu6, with properties calculated at the GGA-PBE level.

Results
* energy relative to the elements: -0.54 eV/atom
* magnetic moment: 0.000 μB/atom
* calculated density: 9.5 Mg/m³
* electronic total energy: -91.58 eV per cell

a = 8.426 Å, b = 8.426 Å, c = 8.426 Å
α = 99.18°, β = 99.18°, γ = 99.18°
Fractional coordinates of all 19 atoms:
Au 0.380 0.695 0.866
Au 0.695 0.866 0.380
Au 0.134 0.620 0.305
Au 0.620 0.305 0.134
Au 0.305 0.134 0.620
Au 0.866 0.380 0.695
Tb 0.320 0.069 0.953
Tb 0.680 0.931 0.047
Tb 0.573 0.420 0.820
Tb 0.420 0.820 0.573
Tb 0.047 0.680 0.931
Tb 0.427 0.580 0.180
Tb 0.820 0.573 0.420
Tb 0.180 0.427 0.580
Tb 0.580 0.180 0.427
Tb 0.953 0.320 0.069
Tb 0.069 0.953 0.320
Tb 0.931 0.047 0.680
Pt 0.000 0.000 0.000